Compound: NiHgSe2
Source: Alexandria via LeMat-Bulk
Functional: PBE
Structure: relaxed

## Properties
The value obtained for the formation energy from raw total energies is 0.12 eV per atom. Its crystal system is tetragonal. The calculation puts the total energy at -3.144 eV/atom.

abc: 2.953 2.953 10.035
angles: 90.00 90.00 90.00
Space group P4/mmm (No. 123)
One atom of each set of equivalent atoms:
Ni1 0.000 0.000 0.000
Hg1 0.000 0.000 0.500
Se1 0.500 0.500 0.159



Compound: AsAu3
Source: Alexandria via LeMat-Bulk
Functional: PBE
Structure: relaxed

## Properties
Its crystal system is orthorhombic. For the formation energy, the calculation gives 154 meV/atom. The calculation puts the total energy at -3.466 eV/atom. As for the energy above the most stable polymorph in this dataset: 4.69 kJ/mol of atoms.

abc: 5.902 8.627 2.903
angles: 90.00 90.00 90.00
Space group Cmmm (No. 65)
One atom of each set of equivalent atoms:
As1 0.000 0.000 0.000
Au1 0.000 0.500 0.000
Au2 0.250 0.250 0.500



Compound: Y3Al3Pd2
Source: Alexandria via LeMat-Bulk
Functional: PBE
Structure: relaxed

## Properties
Its crystal system is orthorhombic. For the formation energy, the calculation gives -719 meV/atom. The calculation puts the total energy at -5.845 eV/atom.

abc: 8.162 15.050 5.645
angles: 90.00 90.00 90.00
Space group Pnma (No. 62)
One atom of each set of equivalent atoms:
Y1 0.038 0.112 0.118
Y2 0.183 0.250 0.620
Al1 0.168 0.750 0.613
Al2 0.186 0.035 0.610
Pd1 0.099 0.605 0.375



Compound: Be4FeNi3
Source: Alexandria via LeMat-Bulk
Functional: PBE
Structure: relaxed

## Properties
Its crystal system is tetragonal. For the formation energy, the calculation gives -397 meV/atom. The calculation puts the total energy at -5.486 eV/atom.

abc: 2.578 2.578 10.819
angles: 90.00 90.00 90.00
Space group P4/mmm (No. 123)
One atom of each set of equivalent atoms:
Be1 0.000 0.000 0.124
Be2 0.000 0.000 0.366
Fe1 0.500 0.500 0.500
Ni1 0.500 0.500 0.000
Ni2 0.500 0.500 0.245



Compound: SiBC2
Source: Alexandria via LeMat-Bulk
Functional: PBE
Structure: relaxed

## Properties
The value obtained for the formation energy from raw total energies is 2.40 eV per atom. Its crystal system is cubic. The calculation puts the total energy at -5.234 eV/atom. As for the energy above the most stable polymorph in this dataset: 208.48 kJ/mol of atoms.

abc: 5.021 5.021 5.021
angles: 90.00 90.00 90.00
Space group Fm-3m (No. 225)
One atom of each set of equivalent atoms:
Si1 0.000 0.000 0.000
B1 0.000 0.000 0.500
C1 0.250 0.250 0.250



Compound: Re2NiHg
Source: Alexandria via LeMat-Bulk
Functional: PBE
Structure: relaxed

## Properties
Its crystal system is orthorhombic. For the formation energy, the calculation gives 756 meV/atom. The calculation puts the total energy at -6.989 eV/atom.

abc: 5.191 8.596 2.767
angles: 90.00 90.00 90.00
Space group Cmmm (No. 65)
One atom of each set of equivalent atoms:
Re1 0.250 0.250 0.000
Ni1 0.000 0.000 0.500
Hg1 0.000 0.500 0.500



Compound: CdHg2Te4
Source: Alexandria via LeMat-Bulk
Functional: PBE
Structure: relaxed

## Properties
The value obtained for the formation energy from raw total energies is 0.00 eV per atom. Its crystal system is tetragonal. The calculation puts the total energy at -2.013 eV/atom.

abc: 4.342 4.342 11.620
angles: 90.00 90.00 90.00
Space group P-4m2 (No. 115)
One atom of each set of equivalent atoms:
Cd1 0.000 0.000 0.000
Hg1 0.000 0.500 0.777
Te1 0.000 0.000 0.500
Te2 0.000 0.500 0.173
Te3 0.500 0.500 0.500



Compound: Ac2Zn6NiAg
Source: Alexandria via LeMat-Bulk
Functional: PBE
Structure: relaxed

## Properties
Its crystal system is tetragonal. For the formation energy, the calculation gives -163 meV/atom. The calculation puts the total energy at -2.613 eV/atom.

abc: 6.817 6.817 9.603
angles: 90.00 90.00 90.00
Space group I4/mmm (No. 139)
One atom of each set of equivalent atoms:
Ac1 0.000 0.500 0.250
Zn1 0.000 0.000 0.239
Zn2 0.239 0.239 0.000
Ni1 0.000 0.000 0.000
Ag1 0.000 0.000 0.500



Compound: Ba3NbCo
Source: Alexandria via LeMat-Bulk
Functional: PBE
Structure: relaxed

## Properties
Its crystal system is cubic. For the formation energy, the calculation gives 947 meV/atom. The calculation puts the total energy at -3.642 eV/atom.

abc: 5.840 5.840 5.840
angles: 90.00 90.00 90.00
Space group Pm-3m (No. 221)
One atom of each set of equivalent atoms:
Ba1 0.000 0.000 0.500
Nb1 0.500 0.500 0.500
Co1 0.000 0.000 0.000



Compound: PaGe2Ru3
Source: Alexandria via LeMat-Bulk
Functional: PBE
Structure: relaxed

## Properties
Its crystal system is monoclinic. For the formation energy, the calculation gives -411 meV/atom. The calculation puts the total energy at -8.171 eV/atom.

abc: 16.799 4.028 9.552
angles: 90.00 109.18 90.00
Space group C2/m (No. 12)
One atom of each set of equivalent atoms:
Pa1 0.000 0.000 0.000
Pa2 0.164 0.000 0.710
Ge1 0.039 0.500 0.779
Ge2 0.139 0.500 0.454
Ge3 0.191 0.000 0.121
Ru1 0.000 0.500 0.500
Ru2 0.045 0.000 0.335
Ru3 0.111 0.500 0.178
Ru4 0.182 0.500 0.952
Ru5 0.213 0.000 0.388



Compound: AsPb3Au3
Source: Alexandria via LeMat-Bulk
Functional: PBE
Structure: relaxed

## Properties
Its crystal system is orthorhombic. For the formation energy, the calculation gives -36 meV/atom. The calculation puts the total energy at -3.694 eV/atom.

abc: 4.096 4.440 19.210
angles: 90.00 90.00 90.00
Space group Imm2 (No. 44)
One atom of each set of equivalent atoms:
As1 0.000 0.000 0.000
Pb1 0.000 0.000 0.419
Pb2 0.000 0.500 0.238
Pb3 0.000 0.500 0.620
Au1 0.000 0.000 0.866
Au2 0.000 0.500 0.074
Au3 0.000 0.500 0.777



Compound: Sc4GeIrN
Source: Alexandria via LeMat-Bulk
Functional: PBE
Structure: relaxed

## Properties
The value obtained for the formation energy from raw total energies is -0.99 eV per atom. Its crystal system is orthorhombic. The calculation puts the total energy at -7.722 eV/atom.

abc: 6.050 13.851 6.066
angles: 90.00 90.00 90.00
Space group Cmcm (No. 63)
One atom of each set of equivalent atoms:
Sc1 0.000 0.074 0.250
Sc2 0.000 0.416 0.250
Sc3 0.250 0.250 0.000
Ge1 0.000 0.386 0.750
Ir1 0.000 0.114 0.750
N1 0.000 0.253 0.250